Entry 1:
This record from Alexandria via LeMat-Bulk describes TmSi3Ru3 after structural relaxation. The functional is PBE.

Cell lengths 6.454, 6.454, 6.454 Å; angles 90.00, 90.00, 90.00 degrees
Space group Pm-3n (No. 223)
One atom of each set of equivalent atoms:
Tm  0.000  0.000  0.000 (multiplicity 2)
Si  0.000  0.250  0.500 (multiplicity 6)
Ru  0.000  0.500  0.250 (multiplicity 6)

Properties
raw formation energy: -0.125 eV per atom
spin magnetization: 0.00 Bohr magnetons per cell
Fermi-level density of states: 2.5 states/eV/f.u.
ρ: 6.87 g/cm3

=====

Entry 2:
This record from Alexandria via LeMat-Bulk describes Tm3Si3Ru2 after structural relaxation. The functional is PBE.

Cell lengths 7.873, 13.884, 5.622 Å; angles 90.00, 90.00, 90.00 degrees
Space group Pnma (No. 62)
One atom of each set of equivalent atoms:
Tm  0.047  0.113  0.119 (multiplicity 8)
Tm  0.188  0.250  0.628 (multiplicity 4)
Si  0.157  0.750  0.600 (multiplicity 4)
Si  0.194  0.040  0.635 (multiplicity 8)
Ru  0.090  0.589  0.394 (multiplicity 8)

Properties
raw formation energy: -0.827 eV per atom
spin magnetization: 0.00 Bohr magnetons per cell
Fermi-level density of states: 5.6 states/eV/f.u.
ρ: 8.57 g/cm3

=====

Entry 3:
This record from Alexandria via LeMat-Bulk describes Tm3Si3Ru after structural relaxation. The functional is PBE.

Cell lengths 10.441, 4.181, 13.417 Å; angles 90.00, 110.73, 90.00 degrees
Space group C2/m (No. 12)
One atom of each set of equivalent atoms:
Tm  0.021  0.000  0.375 (multiplicity 4)
Tm  0.102  0.000  0.921 (multiplicity 4)
Tm  0.245  0.000  0.228 (multiplicity 4)
Si  0.049  0.500  0.237 (multiplicity 4)
Si  0.114  0.500  0.074 (multiplicity 4)
Si  0.134  0.500  0.543 (multiplicity 4)
Ru  0.248  0.500  0.413 (multiplicity 4)

Properties
raw formation energy: -0.865 eV per atom
spin magnetization: 0.00 Bohr magnetons per cell
Fermi-level density of states: 4.3 states/eV/f.u.
ρ: 8.39 g/cm3

=====

Entry 4:
This record from Alexandria via LeMat-Bulk describes TmSi7Ru3 after structural relaxation. The functional is PBE.

Cell lengths 7.6133, 7.6133, 19.8964 Å; angles 90.00, 90.00, 120.00 degrees
Space group R-3c (No. 167, hexagonal axes)
One atom of each set of equivalent atoms:
Tm  0.0000  0.0000  0.0000 (multiplicity 6)
Si  0.0000  0.0000  0.2500 (multiplicity 6)
Si  0.0084  0.2013  0.1380 (multiplicity 36)
Ru  0.0000  0.3281  0.2500 (multiplicity 18)

Properties
raw formation energy: -0.543 eV per atom
spin magnetization: 0.00 Bohr magnetons per cell
Fermi-level density of states: 5.9 states/eV/f.u.
ρ: 6.67 g/cm3

=====

Entry 5:
This record from Alexandria via LeMat-Bulk describes TmSiRu after structural relaxation. The functional is PBE.

Cell lengths 6.912, 4.278, 7.110 Å; angles 90.00, 90.00, 90.00 degrees
Space group Pnma (No. 62)
One atom of each set of equivalent atoms:
Tm  0.011  0.250  0.188 (multiplicity 4)
Si  0.198  0.250  0.607 (multiplicity 4)
Ru  0.156  0.750  0.435 (multiplicity 4)

Properties
raw formation energy: -0.866 eV per atom
spin magnetization: 0.00 Bohr magnetons per cell
Fermi-level density of states: 2.6 states/eV/f.u.
ρ: 9.42 g/cm3

=====

Entry 6:
This record from Alexandria via LeMat-Bulk describes Tm2SiRu2 after structural relaxation. The functional is PBE.

Cell lengths 10.096, 5.411, 7.232 Å; angles 90.00, 102.81, 90.00 degrees
Space group C2/c (No. 15)
One atom of each set of equivalent atoms:
Tm  0.142  0.142  0.143 (multiplicity 8)
Si  0.000  0.401  0.750 (multiplicity 4)
Ru  0.133  0.356  0.514 (multiplicity 8)

Properties
raw formation energy: -0.649 eV per atom
spin magnetization: 0.00 Bohr magnetons per cell
Fermi-level density of states: 2.5 states/eV/f.u.
ρ: 9.79 g/cm3

=====

Entry 7:
This record from Alexandria via LeMat-Bulk describes TmSiRu after structural relaxation. The functional is PBE.

Cell lengths 4.2462, 4.2462, 3.4807 Å; angles 90.00, 90.00, 120.00 degrees
Space group P-6m2 (No. 187)
One atom of each set of equivalent atoms:
Tm  0.0000  0.0000  0.0000 (multiplicity 1)
Si  0.6667  0.3333  0.5000 (multiplicity 1)
Ru  0.3333  0.6667  0.5000 (multiplicity 1)

Properties
raw formation energy: -0.667 eV per atom
spin magnetization: 0.00 Bohr magnetons per cell
Fermi-level density of states: 2.3 states/eV/f.u.
ρ: 9.11 g/cm3

=====

Entry 8:
This record from Alexandria via LeMat-Bulk describes TmSiRu2 after structural relaxation. The functional is PBE.

Cell lengths 4.376, 4.376, 3.235 Å; angles 90.00, 90.00, 90.00 degrees
Space group P4/mmm (No. 123)
One atom of each set of equivalent atoms:
Tm  0.000  0.000  0.000 (multiplicity 1)
Si  0.500  0.500  0.000 (multiplicity 1)
Ru  0.000  0.500  0.500 (multiplicity 2)

Properties
raw formation energy: -0.481 eV per atom
spin magnetization: 0.00 Bohr magnetons per cell
Fermi-level density of states: 1.9 states/eV/f.u.
ρ: 10.70 g/cm3

=====

Entry 9:
This record from Alexandria via LeMat-Bulk describes Tm2VSi2Ru5 after structural relaxation. The functional is PBE.

Cell lengths 9.921, 9.921, 3.179 Å; angles 90.00, 90.00, 90.00 degrees
Space group P4/mbm (No. 127)
One atom of each set of equivalent atoms:
Tm  0.173  0.327  0.000 (multiplicity 4)
V  0.000  0.000  0.000 (multiplicity 2)
Si  0.128  0.628  0.000 (multiplicity 4)
Ru  0.000  0.500  0.500 (multiplicity 2)
Ru  0.066  0.797  0.500 (multiplicity 8)

Properties
raw formation energy: -0.637 eV per atom
spin magnetization: 0.00 Bohr magnetons per cell
Fermi-level density of states: 4.9 states/eV/f.u.
ρ: 10.08 g/cm3

=====

Entry 10:
This record from Alexandria via LeMat-Bulk describes Tm2ZnSi2Ru5 after structural relaxation. The functional is PBE.

Cell lengths 9.848, 9.848, 3.264 Å; angles 90.00, 90.00, 90.00 degrees
Space group P4/mbm (No. 127)
One atom of each set of equivalent atoms:
Tm  0.172  0.328  0.000 (multiplicity 4)
Zn  0.000  0.000  0.000 (multiplicity 2)
Si  0.129  0.629  0.000 (multiplicity 4)
Ru  0.000  0.500  0.500 (multiplicity 2)
Ru  0.069  0.794  0.500 (multiplicity 8)

Properties
raw formation energy: -0.560 eV per atom
spin magnetization: 0.00 Bohr magnetons per cell
Fermi-level density of states: 11.7 states/eV/f.u.
ρ: 10.12 g/cm3

=====

> Which of these has the lowest raw formation energy?

number 5

=====

> What is the spin magnetization in the fifth record?

0.00 Bohr magnetons per cell